# Zr6ScCd | the Alexandria database | PBE-GGA | relaxed
data_Zr6ScCd
_space_group_name_H-M_alt 'A m m 2'
_space_group_IT_number 38
_cell_length_a 5.1263
_cell_length_b 6.4578
_cell_length_c 11.1524
_cell_angle_alpha 90.00
_cell_angle_beta 90.00
_cell_angle_gamma 90.00
loop_
_space_group_symop_operation_xyz
'x,y,z'
'-x,-y,z'
'-x,y,z'
'x,-y,z'
'x,y+1/2,z+1/2'
'-x,-y+1/2,z+1/2'
'-x,y+1/2,z+1/2'
'x,-y+1/2,z+1/2'
loop_
_atom_site_label
_atom_site_fract_x
_atom_site_fract_y
_atom_site_fract_z
Zr1 0.0000 0.0000 0.0000
Zr2 0.0000 0.2418 0.2470
Zr3 0.5000 0.0000 0.1629
Zr4 0.5000 0.2486 0.9130
Sc1 0.5000 0.0000 0.6608
Cd1 0.0000 0.0000 0.4993
# Calculated formation energy: -2 meV/atom
# DOS(E_F): 21.6 states/eV/cell
# VASP energy: -7.32 eV per atom
# Magnetic moment: 0.0 μB/f.u.


# ErTmSiSe | the Alexandria database | PBE-GGA | relaxed
data_ErTmSiSe
_space_group_name_H-M_alt 'R 3 m'
_space_group_IT_number 160
_space_group_name_Hall 'R 3 -2"'
_cell_length_a 4.0575
_cell_length_b 4.0575
_cell_length_c 20.1552
_cell_angle_alpha 90.00
_cell_angle_beta 90.00
_cell_angle_gamma 120.00
loop_
_atom_site_label
_atom_site_fract_x
_atom_site_fract_y
_atom_site_fract_z
Er1 0.0000 0.0000 0.0000
Tm1 0.0000 0.0000 0.5102
Si1 0.0000 0.0000 0.2548
Se1 0.0000 0.0000 0.7556
# Formation energy without anion corrections: -1.271 eV per atom
# DOS(E_F): 3.3 states/eV/cell
# VASP energy: -5.76 eV per atom
# Magnetic moment: 0.0 μB/f.u.


# KNdMgCl6 | the Alexandria database | PBE-GGA | relaxed
data_KNdMgCl6
_space_group_name_H-M_alt 'P -3 1 c'
_space_group_IT_number 163
_space_group_name_Hall '-P 3 2c'
_cell_length_a 6.9329
_cell_length_b 6.9329
_cell_length_c 13.6770
_cell_angle_alpha 90.00
_cell_angle_beta 90.00
_cell_angle_gamma 120.00
loop_
_atom_site_label
_atom_site_fract_x
_atom_site_fract_y
_atom_site_fract_z
K1 0.0000 0.0000 0.0000
Nd1 0.3333 0.6667 0.2500
Mg1 0.3333 0.6667 0.7500
Cl1 0.0235 0.3821 0.6417
# Formation energy without anion corrections: -2.082 eV per atom
# DOS(E_F): 0.0 states/eV/cell
# VASP energy: -4.14 eV per atom
# Magnetic moment: 0.0 μB/f.u.